The following is a GGA-PBE calculation of a geometry-optimized Ho3Tm6Sc structure, from Alexandria.

The calculation puts the energy above the most stable polymorph in this dataset at 0.111 eV/atom. As for the uncorrected energy: -0.1670 hartree per atom. The formation energy comes out at 0.145 eV/atom. As for the size of the total moment: 0.000 μB per atom.

a b c (Å): 10.7715 18.6094 6.0634
angles (deg): 90.00 90.00 90.00
With the nearest neighbours (Å) after each atom.
Space group Cmc2_1 (No. 36)
One atom of each set of equivalent atoms:
Ho: 0.0000 0.1104 0.0000 (multiplicity 4)  5 Tm 3.29-3.54, 1 Sc 3.39, 2 Ho 3.65
Ho: 0.1669 0.3898 0.3874 (multiplicity 8)  1 Sc 3.19, 6 Tm 3.22-3.57
Tm: 0.0000 0.2185 0.5699 (multiplicity 4)  4 Tm 3.17-3.29, 2 Sc 3.29-3.35, 1 Ho 3.29
Tm: 0.0000 0.4499 0.8616 (multiplicity 4)  1 Sc 3.23, 4 Ho 3.49-3.57, 2 Tm 3.56
Tm: 0.1641 0.0469 0.4673 (multiplicity 8)  4 Ho 3.34-3.54, 6 Tm 3.35-3.70
Tm: 0.2502 0.2104 0.2945 (multiplicity 8)  5 Tm 3.17-3.37, 2 Sc 3.19-3.36, 2 Ho 3.22-3.50
Sc: 0.0000 0.2910 0.0758 (multiplicity 4)  7 Tm 3.19-3.36, 3 Ho 3.19-3.39

---

The following is a GGA-PBE calculation of a geometry-optimized Ho5Tm2Sc5 structure, from Alexandria.

As for the uncorrected energy: -0.1926 hartree per atom. The formation energy comes out at 0.050 eV/atom. As for the size of the total moment: 0.000 μB per atom.

a b c (Å): 14.4486 4.8075 10.8050
angles (deg): 90.00 116.51 90.00
With the nearest neighbours (Å) after each atom.
Space group C2/m (No. 12)
One atom of each set of equivalent atoms:
Ho: 0.0000 0.0000 0.0000 (multiplicity 2)  4 Tm 3.38, 6 Sc 3.39-3.44, 2 Ho 3.43
Ho: 0.0872 0.0000 0.7519 (multiplicity 4)  7 Sc 3.32-3.42, 3 Ho 3.38-3.43, 2 Tm 3.45
Ho: 0.1646 0.0000 0.4993 (multiplicity 4)  4 Ho 3.38-3.44, 5 Sc 3.38-3.46, 3 Tm 3.43-3.44
Tm: 0.0836 0.5000 0.2464 (multiplicity 4)  7 Ho 3.38-3.45, 5 Sc 3.40-3.45
Sc: 0.0000 0.5000 0.5000 (multiplicity 2)  8 Ho 3.38-3.42, 2 Sc 3.43, 2 Tm 3.45
Sc: 0.1707 0.5000 0.0017 (multiplicity 4)  5 Ho 3.32-3.44, 5 Sc 3.33-3.37, 2 Tm 3.40-3.45
Sc: 0.2497 0.0000 0.2462 (multiplicity 4)  4 Sc 3.35-3.43, 6 Ho 3.36-3.46, 2 Tm 3.40

---

The following is a GGA-PBE calculation of a geometry-optimized Ho19Tm4Sc6 structure, from Alexandria.

As for the uncorrected energy: -0.1665 hartree per atom. The formation energy comes out at 0.396 eV/atom. As for the size of the total moment: 0.089 μB per atom.

a b c (Å): 12.1872 12.1872 12.1872
angles (deg): 90.00 90.00 90.00
With the nearest neighbours (Å) after each atom.
Space group I23 (No. 197)
One atom of each set of equivalent atoms:
Ho: 0.0000 0.0000 0.0000 (multiplicity 2)  6 Ho 3.23
Ho: 0.0000 0.0000 0.2654 (multiplicity 12)  2 Sc 3.20, 5 Ho 3.23-3.50, 2 Tm 3.25
Ho: 0.0592 0.2811 0.7273 (multiplicity 24)  1 Sc 3.07, 2 Tm 3.29-3.36, 1 Ho 3.41
Tm: 0.1782 0.1782 0.1782 (multiplicity 8)  9 Ho 3.25-3.36
Sc: 0.0000 0.1180 0.5000 (multiplicity 12)  1 Sc 2.88, 4 Ho 3.07-3.20

---

The following is a GGA-PBE calculation of a geometry-optimized Ho2Tm4Sc5 structure, from Alexandria.

The calculation puts the energy above the most stable polymorph in this dataset at 0.000 eV/atom. As for the uncorrected energy: -0.1915 hartree per atom. The formation energy comes out at 0.124 eV/atom. As for the size of the total moment: 0.046 μB per atom.

a b c (Å): 8.6006 3.4320 11.1014
angles (deg): 90.00 108.86 90.00
With the nearest neighbours (Å) after each atom.
Space group P2/m (No. 10)
One atom of each set of equivalent atoms:
Ho: 0.1330 0.0000 0.4076 (multiplicity 2)  3 Sc 3.30-3.35, 3 Ho 3.43-3.53, 4 Tm 3.51-3.69
Tm: 0.2407 0.5000 0.7181 (multiplicity 2)  4 Sc 3.18-3.21, 2 Tm 3.43, 2 Ho 3.51
Tm: 0.2533 0.5000 0.1528 (multiplicity 2)  6 Sc 3.16-3.29, 2 Tm 3.43
Sc: 0.0888 0.0000 0.8970 (multiplicity 2)  4 Sc 3.13-3.43, 6 Tm 3.21-3.29, 1 Ho 3.30
Sc: 0.4963 0.0000 0.6308 (multiplicity 2)  1 Sc 2.93, 4 Tm 3.16-3.18
Sc: 0.5000 0.0000 0.0000 (multiplicity 1)  4 Sc 3.35-3.43, 8 Tm 3.56-3.63

---

The following is a GGA-PBE calculation of a geometry-optimized Ho2Tm3Sc structure, from Alexandria.

The calculation puts the energy above the most stable polymorph in this dataset at 0.106 eV/atom. As for the uncorrected energy: -0.1717 hartree per atom. The formation energy comes out at 0.144 eV/atom. As for the size of the total moment: 0.002 μB per atom.

a b c (Å): 17.2983 3.4034 13.8102
angles (deg): 90.00 117.58 90.00
With the nearest neighbours (Å) after each atom.
Space group C2/m (No. 12)
One atom of each set of equivalent atoms:
Ho: 0.1557 0.0000 0.4689 (multiplicity 4)  2 Sc 3.35-3.44, 5 Tm 3.37-3.56, 4 Ho 3.40-3.42
Ho: 0.1794 0.5000 0.8797 (multiplicity 4)  5 Tm 3.26-3.43, 4 Ho 3.40-3.52, 2 Sc 3.42
Tm: 0.0387 0.5000 0.2158 (multiplicity 4)  3 Ho 3.37-3.56, 8 Tm 3.40-3.66, 2 Sc 3.61
Tm: 0.0990 0.0000 0.0256 (multiplicity 4)  6 Tm 3.16-3.51, 3 Ho 3.39-3.43
Tm: 0.2413 0.0000 0.2934 (multiplicity 4)  4 Ho 3.26-3.38, 5 Tm 3.36-3.58, 2 Sc 3.52
Sc: 0.0622 0.0000 0.6413 (multiplicity 4)  4 Ho 3.35-3.44, 3 Sc 3.40-3.48, 4 Tm 3.52-3.61

---

The following is a GGA-PBE calculation of a geometry-optimized Ho4Tm3Sc2 structure, from Alexandria.

The calculation puts the energy above the most stable polymorph in this dataset at 0.019 eV/atom. As for the uncorrected energy: -0.1773 hartree per atom. The formation energy comes out at 0.107 eV/atom. As for the size of the total moment: 0.000 μB per atom.

a b c (Å): 16.1369 11.2436 5.8386
angles (deg): 90.00 96.96 90.00
With the nearest neighbours (Å) after each atom.
Space group C2/c (No. 15)
One atom of each set of equivalent atoms:
Ho: 0.0652 0.1121 0.0455 (multiplicity 8)  3 Ho 3.29-3.41, 4 Tm 3.34-3.44, 1 Sc 3.44
Ho: 0.2218 0.3947 0.8938 (multiplicity 8)  2 Sc 3.16-3.25, 4 Tm 3.32-3.48, 1 Ho 3.41
Tm: 0.0000 0.3560 0.7500 (multiplicity 4)  6 Sc 3.27-3.41, 4 Ho 3.34-3.60
Tm: 0.1698 0.1546 0.5778 (multiplicity 8)  1 Sc 3.23, 7 Ho 3.32-3.48, 1 Tm 3.56
Sc: 0.0991 0.3875 0.2963 (multiplicity 8)  3 Ho 3.16-3.44, 1 Sc 3.18, 4 Tm 3.23-3.41

---

The following is a GGA-PBE calculation of a geometry-optimized HoTm6Sc2 structure, from Alexandria.

The calculation puts the energy above the most stable polymorph in this dataset at 0.063 eV/atom. As for the uncorrected energy: -0.1758 hartree per atom. The formation energy comes out at 0.113 eV/atom. As for the size of the total moment: 0.000 μB per atom.

a b c (Å): 12.3186 13.9631 6.2866
angles (deg): 90.00 103.53 90.00
With the nearest neighbours (Å) after each atom.
Space group C2/c (No. 15)
One atom of each set of equivalent atoms:
Ho: 0.0000 0.1176 0.2500 (multiplicity 4)  10 Tm 3.27-3.64
Tm: 0.0423 0.3172 0.0098 (multiplicity 8)  5 Tm 3.19-3.42, 3 Sc 3.20-3.38, 1 Ho 3.27
Tm: 0.1426 0.0877 0.8077 (multiplicity 8)  2 Sc 3.32-3.38, 3 Ho 3.34-3.64, 3 Tm 3.34-3.42
Tm: 0.2364 0.3087 0.7165 (multiplicity 8)  6 Tm 3.26-3.40, 2 Sc 3.32-3.41, 1 Ho 3.37
Sc: 0.1340 0.4807 0.3624 (multiplicity 8)  3 Sc 3.19-3.27, 7 Tm 3.20-3.41

---

The following is a GGA-PBE calculation of a geometry-optimized Ho3Tm2Sc7 structure, from Alexandria.

The calculation puts the energy above the most stable polymorph in this dataset at 0.157 eV/atom. As for the uncorrected energy: -0.1958 hartree per atom. The formation energy comes out at 0.256 eV/atom. As for the size of the total moment: 0.111 μB per atom.

a b c (Å): 3.4936 5.2498 18.9227
angles (deg): 90.00 95.30 90.00
With the nearest neighbours (Å) after each atom.
Space group P2/m (No. 10)
One atom of each set of equivalent atoms:
Ho: 0.0000 0.0000 0.0000 (multiplicity 1)  8 Sc 3.08-3.15
Ho: 0.3274 0.5000 0.6554 (multiplicity 2)  4 Tm 3.43, 2 Ho 3.49, 6 Sc 3.56-3.81
Tm: 0.1369 0.0000 0.2731 (multiplicity 2)  5 Sc 3.01-3.33
Sc: 0.0826 0.5000 0.1647 (multiplicity 2)  8 Sc 3.20-3.56, 2 Tm 3.33
Sc: 0.2163 0.0000 0.4327 (multiplicity 2)  1 Tm 3.01, 2 Sc 3.08
Sc: 0.4327 0.0000 0.8656 (multiplicity 2)  2 Ho 3.08, 2 Tm 3.14, 4 Sc 3.20
Sc: 0.5000 0.5000 0.0000 (multiplicity 1)  4 Ho 3.15, 2 Sc 3.49